First-principles (PBE+U) data for a geometry-optimized YScNiO2 structure, as listed in Alexandria.

Geometry as POSCAR:
```
YScNiO2
1.0
-0.8418 -2.9656 -2.9849
1.9892 -3.3596 2.7768
-3.8118 -0.7514 1.8216
Ni Sc O Y
1 1 2 1
Direct
0.0000 0.5000 0.0000
0.5000 0.5000 0.5000
0.5000 0.0000 0.0000
0.0000 0.0000 0.5000
0.0000 0.0000 0.0000
```

## Properties
- E (eV per atom) = -5.89
- mass density (g/cm³) = 4.2